Run 1
Compound: RbLuAsO
Source: the Open Quantum Materials Database
Functional: GGA-PBE
Structure: relaxed

Cell and atoms, written as CIF:
```
data_RbLuAsO
_space_group_name_H-M_alt 'P 4/n m m'
_space_group_IT_number 129
_cell_length_a 4.078
_cell_length_b 4.078
_cell_length_c 10.782
_cell_angle_alpha 90.00
_cell_angle_beta 90.00
_cell_angle_gamma 90.00
loop_
_space_group_symop_operation_xyz
'x,y,z'
'-x,-y,-z'
'-y+1/2,x,z'
'y+1/2,-x,-z'
'-x+1/2,-y+1/2,z'
'x+1/2,y+1/2,-z'
'y,-x+1/2,z'
'-y,x+1/2,-z'
'x+1/2,-y,-z'
'-x+1/2,y,z'
'-y,-x,-z'
'y,x,z'
'-x,y+1/2,-z'
'x,-y+1/2,z'
'y+1/2,x+1/2,-z'
'-y+1/2,-x+1/2,z'
loop_
_atom_site_label
_atom_site_fract_x
_atom_site_fract_y
_atom_site_fract_z
_atom_site_occupancy
Rb1 0.250 0.750 0.000 1
Lu1 0.250 0.250 0.415 1
As1 0.250 0.250 0.758 1
O1 0.250 0.750 0.500 1
```

Summary:
Its crystal system is tetragonal. The value obtained for the total magnetization is 0.002 μB/cell.


Run 2
Compound: RbLuAsO
Source: the Open Quantum Materials Database
Functional: GGA-PBE
Structure: relaxed

Cell and atoms, written as CIF:
```
data_RbLuAsO
_space_group_name_H-M_alt 'P 4/n m m'
_space_group_IT_number 129
_cell_length_a 5.787
_cell_length_b 5.787
_cell_length_c 5.256
_cell_angle_alpha 90.00
_cell_angle_beta 90.00
_cell_angle_gamma 90.00
loop_
_space_group_symop_operation_xyz
'x,y,z'
'-x,-y,-z'
'-y+1/2,x,z'
'y+1/2,-x,-z'
'-x+1/2,-y+1/2,z'
'x+1/2,y+1/2,-z'
'y,-x+1/2,z'
'-y,x+1/2,-z'
'x+1/2,-y,-z'
'-x+1/2,y,z'
'-y,-x,-z'
'y,x,z'
'-x,y+1/2,-z'
'x,-y+1/2,z'
'y+1/2,x+1/2,-z'
'-y+1/2,-x+1/2,z'
loop_
_atom_site_label
_atom_site_fract_x
_atom_site_fract_y
_atom_site_fract_z
_atom_site_occupancy
Rb1 0.250 0.250 0.003 1
Lu1 0.250 0.750 0.500 1
As1 0.250 0.250 0.504 1
O1 0.250 0.750 0.000 1
```

Summary:
Its crystal system is tetragonal. The value obtained for the total magnetization is 0.000 μB/cell.


Relative energies, meV per atom: run 1 0; run 2 516.